Entry 1:
Below is crystalline ZnNi2Br at its relaxed geometry, with properties calculated at the GGA-PBE level.

a b c (Å): 3.050 3.846 11.038
angles (deg): 90.00 90.00 90.00
Space group Imm2 (No. 44)
One atom of each set of equivalent atoms:
1 Zn 0.000 0.000 0.000 (multiplicity 2)
2 Ni 0.000 0.000 0.452 (multiplicity 2)
3 Ni 0.000 0.500 0.129 (multiplicity 2)
4 Br 0.000 0.500 0.769 (multiplicity 2)

Computed properties:
- Total moment: 0.0 Bohr magnetons per cell
- Energy above the most stable polymorph in this dataset: 0.094 eV/atom
- DOS at the Fermi energy: 2.9 states/eV/f.u.


Entry 2:
Below is crystalline SrRe2BiSe at its relaxed geometry, with properties calculated at the GGA-PBE level.

a b c (Å): 5.089 5.089 6.572
angles (deg): 90.00 90.00 90.00
Space group P4/mmm (No. 123)
One atom of each set of equivalent atoms:
1 Sr 0.000 0.000 0.000 (multiplicity 1)
2 Re 0.000 0.500 0.500 (multiplicity 2)
3 Bi 0.000 0.000 0.500 (multiplicity 1)
4 Se 0.500 0.500 0.000 (multiplicity 1)

Computed properties:
- Total energy: -4.947 eV/atom
- Total moment: 4.9 Bohr magnetons per cell
- DOS at the Fermi energy: 4.4 states/eV/f.u.


Entry 3:
Below is crystalline Ho2SiI3 at its relaxed geometry, with properties calculated at the GGA-PBE level.

a b c (Å): 20.535 4.131 14.493
angles (deg): 90.00 129.24 90.00
Space group C2/m (No. 12)
One atom of each set of equivalent atoms:
1 Ho 0.101 0.000 0.230 (multiplicity 4)
2 Ho 0.125 0.500 0.947 (multiplicity 4)
3 Si 0.057 0.000 0.999 (multiplicity 4)
4 I 0.036 0.500 0.320 (multiplicity 4)
5 I 0.181 0.000 0.843 (multiplicity 4)
6 I 0.240 0.500 0.347 (multiplicity 4)

Computed properties:
- Total energy: -4.182 eV/atom
- Total moment: 0.0 Bohr magnetons per cell
- DOS at the Fermi energy: 0.9 states/eV/f.u.